Entry from Alexandria: crystalline YHoCdCu at its relaxed geometry (PBE).

The calculated volume comes out at 23.5 Å³ per atom. Its formation energy is -0.28 eV/atom. The calculation puts the offset from the most stable computed form at 0 meV/atom.

Cell and atoms, written as POSCAR:
```
YHoCdCu
1.0
-3.499 -0.264 0.010
0.264 -3.498 -0.071
0.034 -0.153 7.639
Y Ho Cd Cu
1 1 1 1
Direct
0.000 0.000 0.384
0.000 0.000 0.828
0.500 0.500 0.104
0.500 0.500 0.612
```